DFT (PBE) results for a relaxed Li15In2Pd2 crystal.

The structure in POSCAR format:
```
Li15In2Pd2
1.0
3.629 2.095 7.125
-3.629 2.095 7.125
0.000 -4.190 7.125
Li In Pd
15 2 2
direct
0.000 0.000 0.500
0.000 0.329 0.671
0.000 0.500 0.000
0.000 0.671 0.329
0.182 0.569 0.569
0.329 0.000 0.671
0.329 0.671 0.000
0.431 0.431 0.818
0.431 0.818 0.431
0.500 0.000 0.000
0.569 0.182 0.569
0.569 0.569 0.182
0.671 0.000 0.329
0.671 0.329 0.000
0.818 0.431 0.431
0.082 0.082 0.082
0.918 0.918 0.918
0.276 0.276 0.276
0.724 0.724 0.724
```

Computed properties:
As for the total moment: 0.00 μB/f.u. Its formation energy is -1.81 eV per formula unit. Its mass density is 2.8 g cm⁻³. The value obtained for the density of states at the Fermi level is 5.88 states/eV/cell. As for the volume: 325.0 Å³/cell. Its total energy is -46.4 eV/f.u.